[1]
The following is a DFT calculation (PBE) of CsBi3Pt after structural relaxation.

Output
N(E_F): 5.91 states/eV/cell
Calculated formation energy: 54 meV per atom
Energy above the most stable polymorph in this dataset: 7.77 kcal/mol of atoms
Crystal system: cubic

abc: 5.6608 5.6608 5.6608
angles: 90.00 90.00 90.00
Closest atoms and distances in Å follow each position.
Space group Pm-3m (No. 221)
Unique sites:
Cs 0.0000 0.0000 0.0000 [1 per cell]  12 Bi 4.00
Bi 0.0000 0.5000 0.5000 [3 per cell]  2 Pt 2.83
Pt 0.5000 0.5000 0.5000 [1 per cell]  6 Bi 2.83

[2]
The following is a DFT calculation (PBE) of Pm4YN4 after structural relaxation.

Output
Formation energy without anion corrections: -1.310 eV/atom
N(E_F): 7.35 states/eV/cell
Crystal system: tetragonal

abc: 8.0533 8.0533 5.1164
angles: 90.00 90.00 90.00
Closest atoms and distances in Å follow each position.
Space group I4/m (No. 87)
Unique sites:
Pm 0.1103 0.3120 0.0000 [8 per cell]  5 N 2.41-2.68
Y 0.0000 0.0000 0.5000 [2 per cell]  4 N 2.47
N 0.0950 0.2914 0.5000 [8 per cell]  5 Pm 2.41-2.68, 1 Y 2.47

[3]
The following is a DFT calculation (PBE) of Ac8Ru3SeBr4 after structural relaxation.

Output
Formation energy without anion corrections: -1.014 eV/atom
N(E_F): 26.08 states/eV/cell
Crystal system: trigonal

abc: 8.8272 8.8272 24.5400
angles: 90.00 90.00 120.00
Closest atoms and distances in Å follow each position.
Space group R-3m (No. 166, hexagonal axes)
Unique sites:
Ac 0.0000 0.0000 0.2338 [6 per cell]  3 Ru 3.03
Ac 0.0210 0.5105 0.7685 [18 per cell]  2 Ru 2.94, 1 Se 3.14
Ru 0.0000 0.5000 0.5000 [9 per cell]  6 Ac 2.94-3.03
Se 0.0000 0.0000 0.5000 [3 per cell]  6 Ac 3.14
Br 0.0000 0.0000 0.0000 [3 per cell]  6 Ac 3.46
Br 0.0000 0.5000 0.0000 [9 per cell]  6 Ac 3.53-3.63

[4]
The following is a DFT calculation (PBE) of Ta2CrH2 after structural relaxation.

Output
N(E_F): 1.37 states/eV/cell
Energy above the most stable polymorph in this dataset: 3.49 kcal/mol of atoms
Crystal system: tetragonal

abc: 3.0452 3.0452 6.0224
angles: 90.00 90.00 90.00
Closest atoms and distances in Å follow each position.
Space group P4/mmm (No. 123)
Unique sites:
Ta 0.0000 0.0000 0.2481 [2 per cell]  4 H 2.13
Cr 0.5000 0.5000 0.5000 [1 per cell]  8 Ta 2.63
H 0.0000 0.5000 0.0000 [2 per cell]  4 Ta 2.13, 4 H 2.15

[5]
The following is a DFT calculation (PBE) of SiMoBr2 after structural relaxation.

Output
Formation energy without anion corrections: 1.010 eV/atom
N(E_F): 22.28 states/eV/cell
Energy above the most stable polymorph in this dataset: 23.65 kcal/mol of atoms
Crystal system: cubic

abc: 6.8400 6.8400 6.8400
angles: 90.00 90.00 90.00
Closest atoms and distances in Å follow each position.
Space group F-43m (No. 216)
Unique sites:
Si 0.0000 0.0000 0.0000 [4 per cell]  4 Mo 2.96, 4 Br 2.96
Mo 0.2500 0.2500 0.2500 [4 per cell]  4 Br 2.96, 4 Si 2.96
Br 0.0000 0.0000 0.5000 [4 per cell]  4 Mo 2.96, 4 Br 2.96
Br 0.2500 0.2500 0.7500 [4 per cell]  4 Si 2.96, 4 Br 2.96

[6]
The following is a DFT calculation (PBE) of Sb2As3Pd8 after structural relaxation.

Output
Formation energy without anion corrections: -0.275 eV/atom
N(E_F): 13.06 states/eV/cell
Crystal system: monoclinic

abc: 12.6486 7.3913 6.0159
angles: 90.00 116.58 90.00
Closest atoms and distances in Å follow each position.
Space group C2/m (No. 12)
Unique sites:
Sb 0.1851 0.0000 0.1735 [4 per cell]  6 Pd 2.67-2.93
As 0.0000 0.1890 0.5000 [4 per cell]  6 Pd 2.45-2.69
As 0.0000 0.5000 0.0000 [2 per cell]  6 Pd 2.41-2.45
Pd 0.0976 0.5000 0.4485 [4 per cell]  3 As 2.41-2.69, 1 Sb 2.67
Pd 0.1344 0.3065 0.9123 [8 per cell]  2 As 2.45, 1 Sb 2.67
Pd 0.1867 0.0000 0.6275 [4 per cell]  2 As 2.55, 1 Sb 2.72

[7]
The following is a DFT calculation (PBE) of AlBPt4 after structural relaxation.

Output
N(E_F): 6.49 states/eV/cell
Calculated formation energy: -434 meV per atom
Crystal system: monoclinic

abc: 6.5389 9.5003 6.5189
angles: 90.00 114.37 90.00
Closest atoms and distances in Å follow each position.
Space group C2/c (No. 15)
Unique sites:
Al 0.0000 0.1632 0.2500 [4 per cell]  8 Pt 2.56-2.74, 1 B 2.82
B 0.0000 0.4602 0.2500 [4 per cell]  6 Pt 2.12-2.20
Pt 0.0723 0.3612 0.5772 [8 per cell]  2 B 2.19-2.20
Pt 0.1570 0.0868 0.6630 [8 per cell]  1 B 2.12

[8]
The following is a DFT calculation (PBE) of KAgTe2 after structural relaxation.

Output
Formation energy without anion corrections: -0.315 eV/atom
N(E_F): 1.12 states/eV/cell
Crystal system: orthorhombic

abc: 3.3372 5.9778 5.9855
angles: 90.00 90.00 90.00
Closest atoms and distances in Å follow each position.
Space group Pmm2 (No. 25)
Unique sites:
K 0.0000 0.0000 0.0000 [1 per cell]  2 K 3.34, 8 Te 3.42-3.43
Ag 0.5000 0.5000 0.4778 [1 per cell]  4 Te 2.99-3.00, 2 Ag 3.34
Te 0.5000 0.0000 0.4985 [1 per cell]  2 Ag 2.99, 2 Te 3.34
Te 0.5000 0.5000 0.9786 [1 per cell]  2 Ag 2.99-3.00, 2 Te 3.34

[9]
The following is a DFT calculation (PBE) of Sr5Hg6 after structural relaxation.

Output
N(E_F): 21.09 states/eV/cell
Calculated formation energy: -423 meV per atom
Crystal system: monoclinic

abc: 17.6458 8.1379 5.5457
angles: 90.00 107.67 90.00
Closest atoms and distances in Å follow each position.
Space group C2/m (No. 12)
Unique sites:
Sr 0.0000 0.0000 0.0000 [2 per cell]  8 Hg 3.30-3.46
Sr 0.1465 0.5000 0.6497 [4 per cell]  8 Hg 3.35-3.63
Sr 0.1743 0.0000 0.6739 [4 per cell]  8 Hg 3.37-3.44
Hg 0.0000 0.2205 0.5000 [4 per cell]  6 Sr 3.30-3.44, 1 Hg 3.59
Hg 0.1707 0.2375 0.1716 [8 per cell]  7 Sr 3.37-3.63

[10]
The following is a DFT calculation (PBE) of Al2CdCo after structural relaxation.

Output
N(E_F): 1.94 states/eV/cell
Calculated formation energy: -10 meV per atom
Crystal system: tetragonal

abc: 2.8903 2.8903 7.6449
angles: 90.00 90.00 90.00
Closest atoms and distances in Å follow each position.
Space group P4mm (No. 99)
Unique sites:
Al 0.0000 0.0000 0.0000 [1 per cell]  4 Co 2.41
Al 0.5000 0.5000 0.2666 [1 per cell]  8 Al 2.89, 4 Cd 3.18
Cd 0.0000 0.0000 0.5862 [1 per cell]  4 Co 2.78, 4 Cd 2.89
Co 0.5000 0.5000 0.8325 [1 per cell]  4 Al 2.41

[11]
The following is a DFT calculation (PBE) of AlAs2O after structural relaxation.

Output
Formation energy without anion corrections: 0.241 eV/atom
N(E_F): 8.22 states/eV/cell
Energy above the most stable polymorph in this dataset: 6.76 kcal/mol of atoms
Crystal system: cubic

abc: 6.2042 6.2042 6.2042
angles: 90.00 90.00 90.00
Closest atoms and distances in Å follow each position.
Space group Fm-3m (No. 225)
Unique sites:
Al 0.0000 0.0000 0.0000 [4 per cell]  8 As 2.69
As 0.2500 0.2500 0.2500 [8 per cell]  4 Al 2.69, 4 O 2.69
O 0.0000 0.0000 0.5000 [4 per cell]  8 As 2.69

[12]
The following is a DFT calculation (PBE) of RbZn2InPd after structural relaxation.

Output
N(E_F): 1.74 states/eV/cell
Calculated formation energy: -135 meV per atom
Crystal system: tetragonal

abc: 5.0737 5.0737 5.1931
angles: 90.00 90.00 90.00
Closest atoms and distances in Å follow each position.
Space group P4/mmm (No. 123)
Unique sites:
Rb 0.0000 0.0000 0.0000 [1 per cell]  4 In 3.59, 8 Zn 3.63
Zn 0.0000 0.5000 0.5000 [2 per cell]  2 Pd 2.54
In 0.5000 0.5000 0.0000 [1 per cell]  2 Pd 2.60
Pd 0.5000 0.5000 0.5000 [1 per cell]  4 Zn 2.54, 2 In 2.60